1.
Computed, not measured: a geometry-optimized SbHI2Br structure at the PBE level of DFT.

The energy above the most stable polymorph in this dataset is 0.00 eV per formula unit.

```
data_SbHI2Br
_symmetry_space_group_name_H-M 'P 4/m m m'
_symmetry_Int_Tables_number 123
_symmetry_space_group_name_Hall '-P 4 2'
_cell_length_a 5.7763
_cell_length_b 5.7763
_cell_length_c 3.9453
_cell_angle_alpha 90.00
_cell_angle_beta 90.00
_cell_angle_gamma 90.00
loop_
_atom_site_label
_atom_site_type_symbol
_atom_site_fract_x
_atom_site_fract_y
_atom_site_fract_z
Sb1 Sb 0.0000 0.0000 0.0000
H1 H 0.0000 0.0000 0.5000
I1 I 0.0000 0.5000 0.5000
Br1 Br 0.5000 0.5000 0.0000
```



2.
Computed, not measured: a geometry-optimized Sb2HIBr structure at the PBE level of DFT.

The energy above the most stable polymorph in this dataset is 0.00 eV per formula unit.

```
data_Sb2HIBr
_symmetry_space_group_name_H-M 'P 4/m m m'
_symmetry_Int_Tables_number 123
_symmetry_space_group_name_Hall '-P 4 2'
_cell_length_a 4.8784
_cell_length_b 4.8784
_cell_length_c 5.0176
_cell_angle_alpha 90.00
_cell_angle_beta 90.00
_cell_angle_gamma 90.00
loop_
_atom_site_label
_atom_site_type_symbol
_atom_site_fract_x
_atom_site_fract_y
_atom_site_fract_z
Sb1 Sb 0.0000 0.5000 0.0000
H1 H 0.0000 0.0000 0.0000
I1 I 0.0000 0.0000 0.5000
Br1 Br 0.5000 0.5000 0.5000
```



3.
Computed, not measured: a geometry-optimized ScHIBr structure at the PBE level of DFT.

The raw total energy comes out at -4.36 eV per atom.

```
data_ScHIBr
_symmetry_space_group_name_H-M 'C 1 m 1'
_symmetry_Int_Tables_number 8
_cell_length_a 6.4436
_cell_length_b 3.7199
_cell_length_c 7.9729
_cell_angle_alpha 90.00
_cell_angle_beta 105.70
_cell_angle_gamma 90.00
loop_
_symmetry_equiv_pos_as_xyz
'x,y,z'
'x,-y,z'
'x+1/2,y+1/2,z'
'x+1/2,-y+1/2,z'
loop_
_atom_site_label
_atom_site_type_symbol
_atom_site_fract_x
_atom_site_fract_y
_atom_site_fract_z
Sc1 Sc 0.0000 0.0000 0.0000
H1 H 0.1644 0.5000 0.9935
I1 I 0.2438 0.0000 0.7326
Br1 Br 0.4121 0.0000 0.2352
```